The following is a DFT calculation (GGA-PBE) of a geometry-optimized Hf4Ga6Ir7 structure.

```
Hf4Ga6Ir7
1.0
-0.952 7.034 -0.330
-3.359 -3.103 -5.439
-2.632 -2.461 6.124
Hf Ga Ir
4 6 7
direct
0.500 0.000 0.000
0.500 0.500 0.500
0.000 0.500 0.000
0.000 0.000 0.500
0.694 0.000 0.694
0.694 0.694 0.000
0.000 0.306 0.306
0.306 0.000 0.306
0.306 0.306 0.000
0.000 0.694 0.694
0.750 0.500 0.250
0.250 0.750 0.500
0.500 0.750 0.250
0.750 0.250 0.500
0.250 0.500 0.750
0.500 0.250 0.750
0.000 0.000 0.000
```

Computed properties:
The final energy comes out at -132.0 eV per formula unit. The space group is Im-3m (229). Its density of states at the Fermi level is 13.73 states/eV/f.u. Its total magnetization is 0.00 Bohr magnetons per cell.

=====

The following is a DFT calculation (GGA-PBE) of a geometry-optimized Li3B4C4 structure.

```
Li3B4C4
1.0
-5.986 -0.541 -6.246
1.576 -7.489 4.071
-1.950 0.578 1.819
C B Li
8 8 6
direct
0.540 0.790 0.000
0.449 0.222 0.000
0.041 0.291 0.000
0.972 0.699 0.000
0.292 0.542 0.500
0.205 0.964 0.500
0.789 0.039 0.500
0.714 0.455 0.500
0.288 0.050 0.000
0.704 0.954 0.000
0.800 0.538 0.000
0.209 0.459 0.000
0.049 0.786 0.500
0.459 0.709 0.500
0.536 0.299 0.500
0.956 0.206 0.500
0.248 0.253 0.500
0.003 0.498 0.500
0.523 0.520 0.000
0.270 0.773 0.000
0.981 0.974 0.000
0.724 0.231 0.000
```

Computed properties:
The final energy comes out at -71.9 eV per formula unit. The space group is Amm2 (38). Its density of states at the Fermi level is 2.46 states/eV/f.u. Its total magnetization is 0.00 Bohr magnetons per cell. For the offset from the most stable computed form, the calculation gives 10 meV per atom.

=====

The following is a DFT calculation (GGA-PBE) of a geometry-optimized Mg2ZrRh structure.

```
Mg2ZrRh
1.0
2.998 0.000 0.000
0.000 4.391 0.000
0.000 0.000 5.616
Mg Rh Zr
2 1 1
direct
0.000 0.000 0.019
0.000 0.000 0.481
0.500 0.500 0.250
0.500 0.500 0.750
```

Computed properties:
The final energy comes out at -19.8 eV per formula unit. The space group is Pmmm (47). Its density of states at the Fermi level is 2.28 states/eV/f.u. Its total magnetization is 0.00 Bohr magnetons per cell.

=====

The following is a DFT calculation (GGA-PBE) of a geometry-optimized CdC2Cl structure.

```
CdC2Cl
1.0
-0.558 1.470 4.751
4.166 -2.473 1.254
4.689 3.846 1.995
C Cl Cd
4 2 2
direct
0.604 0.125 0.250
0.146 0.625 0.250
0.375 0.396 0.750
0.875 0.854 0.750
0.500 0.500 0.000
0.250 0.750 0.500
0.000 0.000 0.000
0.750 0.250 0.500
```

Computed properties:
The final energy comes out at -11.6 eV per formula unit. As for the uncorrected formation energy: 233 kJ/mol of atoms. The space group is I-42d (122). Its density of states at the Fermi level is 1.17 states/eV/f.u. Its total magnetization is 1.99 Bohr magnetons per cell. For the offset from the most stable computed form, the calculation gives 0 meV per atom.

=====

The following is a DFT calculation (GGA-PBE) of a geometry-optimized Si2PbAu structure.

```
Si2PbAu
1.0
-1.871 2.906 2.875
2.779 -1.414 3.238
6.429 6.974 0.650
Pb Si Au
2 4 2
direct
0.000 0.000 0.000
0.750 0.250 0.500
0.502 0.125 0.250
0.248 0.625 0.250
0.375 0.498 0.750
0.875 0.752 0.750
0.500 0.500 0.000
0.250 0.750 0.500
```

Computed properties:
The final energy comes out at -16.7 eV per formula unit. As for the uncorrected formation energy: 28 kJ/mol of atoms. The space group is I-42d (122). Its density of states at the Fermi level is 1.94 states/eV/f.u. Its total magnetization is 0.00 Bohr magnetons per cell.

=====

The following is a DFT calculation (GGA-PBE) of a geometry-optimized KTl2SiF6 structure.

```
KTl2SiF6
1.0
6.897 0.000 0.000
3.448 5.973 0.000
3.448 1.991 10.173
K Tl Si F
2 4 2 12
direct
0.615 0.615 0.154
0.385 0.385 0.846
0.880 0.880 0.360
0.120 0.120 0.640
0.770 0.770 0.691
0.230 0.230 0.309
0.000 0.000 0.000
0.500 0.500 0.500
0.766 0.417 0.400
0.417 0.766 0.400
0.417 0.417 0.400
0.234 0.583 0.600
0.583 0.234 0.600
0.583 0.583 0.600
0.797 0.151 0.902
0.151 0.797 0.902
0.151 0.151 0.902
0.203 0.849 0.098
0.849 0.203 0.098
0.849 0.849 0.098
```

Computed properties:
The final energy comes out at -47.0 eV per formula unit. As for the uncorrected formation energy: -237 kJ/mol of atoms. The space group is R-3m (166). Its density of states at the Fermi level is 3.38 states/eV/f.u. Its total magnetization is 0.41 Bohr magnetons per cell.